Record 1
Computed, not measured: a geometry-optimized NdAl4Fe9 structure at the PBE level of DFT.

Lattice parameters (Å, degrees): 8.208 8.208 8.208 120.37 120.37 89.36
Element x y z (fractional)
Nd1 0.250 0.250 0.000
Nd2 0.750 0.750 0.000
Al1 0.060 0.560 0.870
Al2 0.191 0.060 0.500
Al3 0.309 0.809 0.870
Al4 0.440 0.309 0.500
Al5 0.560 0.691 0.500
Al6 0.691 0.191 0.130
Al7 0.809 0.940 0.500
Al8 0.940 0.440 0.130
Fe1 0.000 0.500 0.500
Fe2 0.060 0.202 0.262
Fe3 0.066 0.782 0.500
Fe4 0.202 0.940 0.143
Fe5 0.218 0.718 0.285
Fe6 0.282 0.566 0.500
Fe7 0.298 0.440 0.738
Fe8 0.434 0.934 0.715
Fe9 0.440 0.702 0.143
Fe10 0.500 0.000 0.500
Fe11 0.560 0.298 0.857
Fe12 0.566 0.066 0.285
Fe13 0.702 0.560 0.262
Fe14 0.718 0.434 0.500
Fe15 0.782 0.282 0.715
Fe16 0.798 0.060 0.857
Fe17 0.934 0.218 0.500
Fe18 0.940 0.798 0.738

Calculated values
**Space group**: No. 140
**Magnetic moment**: 32.29 μB/cell
**Formation energy**: -0.238 eV per atom
**Mass density**: 6.45 Mg/m³

=====

Record 2
Computed, not measured: a geometry-optimized Na2CrN structure at the PBE level of DFT.

Lattice parameters (Å, degrees): 7.302 7.302 7.302 93.69 93.69 150.62
Element x y z (fractional)
Na1 0.375 0.191 0.316
Na2 0.809 0.125 0.184
Na3 0.875 0.059 0.684
Na4 0.941 0.625 0.816
Cr1 0.250 0.750 0.500
Cr2 0.500 0.500 0.000
N1 0.000 0.000 0.000
N2 0.750 0.250 0.500

Calculated values
**Raw formation energy**: 81.5 meV per atom
**Space group**: No. 122
**Magnetic moment**: 6.20 μB/cell
**Mass density**: 2.01 Mg/m³

=====

Record 3
Computed, not measured: a geometry-optimized TiP2Pt structure at the PBE level of DFT.

Lattice parameters (Å, degrees): 4.334 4.334 4.334 60.00 60.00 60.00
Element x y z (fractional)
Ti1 0.000 0.000 0.000
P1 0.250 0.250 0.250
P2 0.750 0.750 0.750
Pt1 0.500 0.500 0.500

Calculated values
**Space group**: No. 225
**Magnetic moment**: 0.00 μB/cell
**Formation energy**: -0.367 eV per atom
**Mass density**: 8.79 Mg/m³

=====

Record 4
Computed, not measured: a geometry-optimized GaB3As structure at the PBE level of DFT.

Lattice parameters (Å, degrees): 4.161 4.161 4.161 90.00 90.00 90.00
Element x y z (fractional)
Ga1 0.000 0.000 0.000
B1 0.000 0.500 0.500
B2 0.500 0.000 0.500
B3 0.500 0.500 0.000
As1 0.500 0.500 0.500

Calculated values
**Space group**: No. 221
**Magnetic moment**: 0.00 μB/cell
**Formation energy**: 1.782 eV per atom
**Mass density**: 4.08 Mg/m³

=====

Record 5
Computed, not measured: a geometry-optimized Th2ZnHg structure at the PBE level of DFT.

Lattice parameters (Å, degrees): 5.328 5.328 5.328 60.00 60.00 60.00
Element x y z (fractional)
Th1 0.250 0.250 0.250
Th2 0.750 0.750 0.750
Zn1 0.000 0.000 0.000
Hg1 0.500 0.500 0.500

Calculated values
**Space group**: No. 225
**Magnetic moment**: 0.00 μB/cell
**Formation energy**: -0.148 eV per atom
**Mass density**: 11.34 Mg/m³

=====

Record 6
Computed, not measured: a geometry-optimized LaTcRu structure at the PBE level of DFT.

Lattice parameters (Å, degrees): 6.520 6.520 3.108 103.68 103.68 27.58
Element x y z (fractional)
La1 0.000 0.000 0.000
Tc1 0.302 0.302 0.301
Ru1 0.697 0.697 0.697

Calculated values
**Space group**: No. 8
**Magnetic moment**: 0.00 μB/cell
**Formation energy**: 0.182 eV per atom
**Mass density**: 9.46 Mg/m³

=====

Record 7
Computed, not measured: a geometry-optimized UPb3O6 structure at the PBE level of DFT.

Lattice parameters (Å, degrees): 13.949 8.296 12.601 90.00 90.00 90.00
Element x y z (fractional)
U1 0.087 0.002 0.241
U2 0.087 0.498 0.241
U3 0.413 0.502 0.741
U4 0.413 0.998 0.741
U5 0.587 0.002 0.259
U6 0.587 0.498 0.259
U7 0.913 0.502 0.759
U8 0.913 0.998 0.759
Pb1 0.002 0.750 0.485
Pb2 0.035 0.750 0.974
Pb3 0.149 0.250 0.767
Pb4 0.179 0.750 0.738
Pb5 0.231 0.029 0.493
Pb6 0.231 0.471 0.493
Pb7 0.269 0.529 0.993
Pb8 0.269 0.971 0.993
Pb9 0.321 0.250 0.238
Pb10 0.351 0.750 0.267
Pb11 0.465 0.250 0.474
Pb12 0.498 0.250 0.985
Pb13 0.502 0.750 0.015
Pb14 0.535 0.750 0.526
Pb15 0.649 0.250 0.733
Pb16 0.679 0.750 0.762
Pb17 0.731 0.029 0.007
Pb18 0.731 0.471 0.007
Pb19 0.769 0.529 0.507
Pb20 0.769 0.971 0.507
Pb21 0.821 0.250 0.262
Pb22 0.851 0.750 0.233
Pb23 0.965 0.250 0.026
Pb24 0.998 0.250 0.515
O1 0.040 0.750 0.273
O2 0.051 0.559 0.792
O3 0.051 0.941 0.792
O4 0.069 0.048 0.402
O5 0.069 0.452 0.402
O6 0.110 0.550 0.083
O7 0.110 0.950 0.083
O8 0.130 0.250 0.211
O9 0.154 0.250 0.584
O10 0.200 0.750 0.915
O11 0.229 0.540 0.276
O12 0.229 0.960 0.276
O13 0.271 0.040 0.776
O14 0.271 0.460 0.776
O15 0.300 0.250 0.415
O16 0.346 0.750 0.084
O17 0.370 0.750 0.711
O18 0.390 0.050 0.583
O19 0.390 0.450 0.583
O20 0.431 0.548 0.902
O21 0.431 0.952 0.902
O22 0.449 0.059 0.292
O23 0.449 0.441 0.292
O24 0.460 0.250 0.773
O25 0.540 0.750 0.227
O26 0.551 0.559 0.708
O27 0.551 0.941 0.708
O28 0.569 0.048 0.098
O29 0.569 0.452 0.098
O30 0.610 0.550 0.417
O31 0.610 0.950 0.417
O32 0.630 0.250 0.289
O33 0.654 0.250 0.916
O34 0.700 0.750 0.585
O35 0.729 0.540 0.224
O36 0.729 0.960 0.224
O37 0.771 0.040 0.724
O38 0.771 0.460 0.724
O39 0.800 0.250 0.085
O40 0.846 0.750 0.416
O41 0.870 0.750 0.789
O42 0.890 0.050 0.917
O43 0.890 0.450 0.917
O44 0.931 0.548 0.598
O45 0.931 0.952 0.598
O46 0.949 0.059 0.208
O47 0.949 0.441 0.208
O48 0.960 0.250 0.727

Calculated values
**Raw formation energy**: -1976.8 meV per atom
**Space group**: No. 62
**Magnetic moment**: 0.00 μB/cell
**Mass density**: 8.71 Mg/m³

=====

Record 8
Computed, not measured: a geometry-optimized TeMo2As structure at the PBE level of DFT.

Lattice parameters (Å, degrees): 4.574 4.574 4.574 60.00 60.00 60.00
Element x y z (fractional)
Te1 0.000 0.000 0.000
Mo1 0.250 0.250 0.250
Mo2 0.750 0.750 0.750
As1 0.500 0.500 0.500

Calculated values
**Raw formation energy**: 191.6 meV per atom
**Space group**: No. 225
**Magnetic moment**: 0.00 μB/cell
**Mass density**: 9.68 Mg/m³

=====

Record 9
Computed, not measured: a geometry-optimized MgZrTl2 structure at the PBE level of DFT.

Lattice parameters (Å, degrees): 4.624 4.624 4.294 90.00 90.00 90.00
Element x y z (fractional)
Mg1 0.000 0.000 0.000
Zr1 0.500 0.500 0.000
Tl1 0.000 0.500 0.500
Tl2 0.500 0.000 0.500

Calculated values
**Space group**: No. 123
**Magnetic moment**: 0.00 μB/cell
**Formation energy**: -0.055 eV per atom
**Mass density**: 9.48 Mg/m³

=====

Record 10
Computed, not measured: a geometry-optimized Zr2Cd3In structure at the PBE level of DFT.

Lattice parameters (Å, degrees): 9.119 9.119 10.584 107.86 107.86 19.28
Element x y z (fractional)
Zr1 0.061 0.061 0.137
Zr2 0.231 0.231 0.110
Zr3 0.769 0.769 0.890
Zr4 0.939 0.939 0.863
Cd1 0.140 0.140 0.649
Cd2 0.200 0.200 0.383
Cd3 0.464 0.464 0.614
Cd4 0.536 0.536 0.386
Cd5 0.800 0.800 0.617
Cd6 0.860 0.860 0.351
In1 0.405 0.405 0.098
In2 0.595 0.595 0.902

Calculated values
**Space group**: No. 12
**Magnetic moment**: 0.00 μB/cell
**Formation energy**: -0.022 eV per atom
**Mass density**: 7.63 Mg/m³

=====

Record 11
Computed, not measured: a geometry-optimized Be2AlRu2 structure at the PBE level of DFT.

Lattice parameters (Å, degrees): 6.381 6.381 3.004 90.00 90.00 90.00
Element x y z (fractional)
Be1 0.139 0.361 0.000
Be2 0.361 0.861 0.000
Be3 0.639 0.139 0.000
Be4 0.861 0.639 0.000
Al1 0.000 0.000 0.500
Al2 0.500 0.500 0.500
Ru1 0.152 0.652 0.500
Ru2 0.348 0.152 0.500
Ru3 0.652 0.848 0.500
Ru4 0.848 0.348 0.500

Calculated values
**Space group**: No. 127
**Magnetic moment**: 0.00 μB/cell
**Formation energy**: -0.228 eV per atom
**Mass density**: 6.71 Mg/m³

=====

Record 12
Computed, not measured: a geometry-optimized CaLaAl4 structure at the PBE level of DFT.

Lattice parameters (Å, degrees): 5.712 5.712 5.712 60.00 60.00 60.00
Element x y z (fractional)
Ca1 0.000 0.000 0.000
La1 0.750 0.750 0.750
Al1 0.375 0.375 0.375
Al2 0.375 0.375 0.874
Al3 0.375 0.874 0.375
Al4 0.874 0.375 0.375

Calculated values
**Space group**: No. 216
**Magnetic moment**: 0.00 μB/cell
**Formation energy**: -0.402 eV per atom
**Mass density**: 3.62 Mg/m³

=====

The highest mass density belongs to which entry? Th2ZnHg